# NdHoGa

NdHoGa after structural relaxation (PBE, OQMD).

Cell: 7.105 7.105 7.105 Å, 90.00 90.00 90.00°
Space group F-43m (No. 216)
Inequivalent atoms, fractional coordinates:
Nd1 0.000 0.000 0.000 (multiplicity 4)
Ho1 0.000 0.000 0.500 (multiplicity 4)
Ga1 0.250 0.250 0.750 (multiplicity 4)

The calculation puts the total energy at -52.303 eV per cell.

---

# TbInPt

TbInPt after structural relaxation (PBE, OQMD).

Cell: 7.5058 7.5058 4.0404 Å, 90.00 90.00 120.00°
Space group P-62m (No. 189)
Inequivalent atoms, fractional coordinates:
Tb1 0.0000 0.5916 0.0000 (multiplicity 3)
In1 0.0000 0.2554 0.5000 (multiplicity 3)
Pt1 0.0000 0.0000 0.0000 (multiplicity 1)
Pt2 0.3333 0.6667 0.5000 (multiplicity 2)

The calculation puts the total energy at -49.216 eV per cell.

---

# FeCoW2

FeCoW2 after structural relaxation (PBE, OQMD).

Cell: 2.695 4.291 4.533 Å, 90.00 90.00 90.00°
Space group Pmm2 (No. 25)
Inequivalent atoms, fractional coordinates:
Fe1 0.000 0.000 0.000 (multiplicity 1)
Co1 0.000 0.500 0.363 (multiplicity 1)
W1 0.500 0.000 0.490 (multiplicity 1)
W2 0.500 0.500 0.878 (multiplicity 1)

As for the calculated formation energy: 0.13 eV per atom. The calculation puts the total energy at -40.833 eV per cell.

---

# TlBMo2

TlBMo2 after structural relaxation (PBE, OQMD).

Cell: 3.1979 3.1979 14.1097 Å, 90.00 90.00 120.00°
Space group P6_3/mmc (No. 194)
Inequivalent atoms, fractional coordinates:
Tl1 0.3333 0.6667 0.2500 (multiplicity 2)
B1 0.0000 0.0000 0.0000 (multiplicity 2)
Mo1 0.3333 0.6667 0.5813 (multiplicity 4)

The calculation puts the total energy at -61.023 eV per cell.

---

# AcDyO3

AcDyO3 after structural relaxation (PBE, OQMD).

Cell: 6.0640 6.0640 15.7567 Å, 90.00 90.00 120.00°
Space group R-3 (No. 148, hexagonal axes)
Inequivalent atoms, fractional coordinates:
Ac1 0.0000 0.0000 0.1316 (multiplicity 6)
Dy1 0.0000 0.0000 0.3529 (multiplicity 6)
O1 0.0311 0.3020 0.2537 (multiplicity 18)

The calculation puts the total energy at -243.249 eV per cell.

---

# NaNiAs

NaNiAs after structural relaxation (PBE, OQMD).

Cell: 5.913 5.913 5.913 Å, 90.00 90.00 90.00°
Space group F-43m (No. 216)
Inequivalent atoms, fractional coordinates:
Na1 0.000 0.000 0.000 (multiplicity 4)
Ni1 0.250 0.250 0.750 (multiplicity 4)
As1 0.000 0.000 0.500 (multiplicity 4)

The calculation puts the total energy at -46.042 eV per cell.

---

# LuCuBMo

LuCuBMo after structural relaxation (PBE, OQMD).

Cell: 6.134 6.134 6.134 Å, 90.00 90.00 90.00°
Space group F-43m (No. 216)
Inequivalent atoms, fractional coordinates:
Lu1 0.000 0.000 0.000 (multiplicity 4)
Cu1 0.250 0.250 0.750 (multiplicity 4)
B1 0.000 0.000 0.500 (multiplicity 4)
Mo1 0.250 0.250 0.250 (multiplicity 4)

The calculation puts the total energy at -89.596 eV per cell.

---

# Co2NiPb

Co2NiPb after structural relaxation (PBE, OQMD).

Cell: 6.044 6.044 6.044 Å, 90.00 90.00 90.00°
Space group F-43m (No. 216)
Inequivalent atoms, fractional coordinates:
Co1 0.000 0.000 0.000 (multiplicity 4)
Co2 0.250 0.250 0.250 (multiplicity 4)
Ni1 0.000 0.000 0.500 (multiplicity 4)
Pb1 0.250 0.250 0.750 (multiplicity 4)

The calculation puts the total energy at -87.578 eV per cell.